An optimized crystal structure of La2Pm2PrMg5, computed with PBE.

## Properties
Symmetry   P4/mbm
E_tot   -3.21 eV/atom
Magnetization   0.0 Bohr magnetons per cell

Cell: 5.236 10.759 10.759 Å, 90.00 90.00 90.00°
Atoms (fractional coordinates):
Mg 0.500 0.074 0.802
Mg 0.500 0.302 0.574
Pm 0.000 0.378 0.122
La 0.000 0.675 0.175
Mg 0.500 0.426 0.302
Mg 0.500 0.574 0.698
Mg 0.500 0.000 0.500
La 0.000 0.325 0.825
Pr 0.000 0.000 0.000
La 0.000 0.825 0.675
Mg 0.500 0.698 0.426
Mg 0.500 0.926 0.198
Mg 0.500 0.802 0.926
Pm 0.000 0.878 0.378
Pm 0.000 0.122 0.622
Pr 0.000 0.500 0.500
Pm 0.000 0.622 0.878
Mg 0.500 0.198 0.074
La 0.000 0.175 0.325
Mg 0.500 0.500 0.000

=====

An optimized crystal structure of Rb3Nd3GaS8, computed with PBE.

## Properties
Symmetry   R-3m
E_tot   -4.97 eV/atom
Magnetization   0.0 Bohr magnetons per cell
E_form (uncorrected)   -1.417 eV/atom

Cell: 8.197 8.202 9.170 Å, 116.58 90.00 119.98°
Atoms (fractional coordinates):
S 0.242 0.031 0.319
Nd 0.000 0.500 0.500
Nd 0.500 0.500 0.500
Rb 0.500 0.500 0.000
Ga 0.000 0.000 0.500
S 0.758 0.969 0.681
S 0.211 0.423 0.681
S 0.212 0.969 0.681
Rb 0.000 0.500 0.000
S 0.789 0.577 0.319
S 0.267 0.534 0.302
Rb 0.000 0.000 0.000
S 0.788 0.031 0.319
Nd 0.500 0.000 0.500
S 0.733 0.466 0.698

=====

An optimized crystal structure of Ac2CeTe2Se2, computed with PBE.

## Properties
Symmetry   I4/mmm
E_tot   -5.37 eV/atom
Magnetization   1.5 Bohr magnetons per cell
E_form (uncorrected)   -1.456 eV/atom

Cell: 5.474 5.474 9.205 Å, 107.30 107.30 90.00°
Site moments in Bohr magnetons follow the coordinates.
Atoms (fractional coordinates):
Ce 0.000 0.000 0.000  0.86
Se 0.000 0.500 0.000  -0.02
Se 0.500 0.000 0.000  -0.02
Ac 0.620 0.620 0.240  0.09
Te 0.815 0.815 0.631  -0.01
Ac 0.380 0.380 0.760  0.09
Te 0.185 0.185 0.369  -0.01

=====

An optimized crystal structure of Li3Ca3In2, computed with PBE.

## Properties
Symmetry   Pnma
E_tot   -2.39 eV/atom
Magnetization   0.0 Bohr magnetons per cell

Cell: 6.172 8.656 16.719 Å, 90.00 90.00 90.00°
Atoms (fractional coordinates):
Li 0.405 0.674 0.536
Li 0.095 0.174 0.964
In 0.371 0.382 0.609
Ca 0.351 0.660 0.750
In 0.371 0.382 0.891
Li 0.368 0.669 0.250
Ca 0.875 0.536 0.897
Ca 0.375 0.964 0.103
Ca 0.375 0.964 0.397
In 0.871 0.118 0.391
Li 0.868 0.831 0.750
Ca 0.149 0.160 0.750
Li 0.132 0.169 0.250
Ca 0.851 0.840 0.250
Ca 0.649 0.340 0.250
In 0.129 0.882 0.609
Li 0.595 0.326 0.036
Li 0.632 0.331 0.750
In 0.629 0.618 0.109
Li 0.595 0.326 0.464
Ca 0.625 0.036 0.897
Ca 0.125 0.464 0.103
Ca 0.875 0.536 0.603
Li 0.095 0.174 0.536
In 0.871 0.118 0.109
Li 0.405 0.674 0.964
Ca 0.125 0.464 0.397
Ca 0.625 0.036 0.603
In 0.629 0.618 0.391
Li 0.905 0.826 0.036
Li 0.905 0.826 0.464
In 0.129 0.882 0.891